Entry from Alexandria via LeMat-Bulk: a geometry-optimized Hf2BeMo structure (PBE).

Cell lengths 3.3183, 3.3183, 6.2083 Å; angles 90.00, 90.00, 90.00 degrees
Last column: nearest neighbours and their distance in Å.
Positions (direct):
Hf: 0.0000 0.0000 0.7565  4 Be 2.79, 4 Mo 2.84, 1 Hf 3.02
Hf: 0.0000 0.0000 0.2435  4 Be 2.79, 4 Mo 2.84, 1 Hf 3.02
Mo: 0.5000 0.5000 0.5000  8 Hf 2.84, 2 Be 3.10
Be: 0.5000 0.5000 0.0000  8 Hf 2.79, 2 Mo 3.10

## Properties
uncorrected energy = -8.6787 eV per atom
SG = P4/mmm, No. 123